# 1
Here is TaOs after structural relaxation from the Alexandria database. Energies are from GGA-PBE.

formation enthalpy at 0 K	-0.064	eV per atom

Lattice parameters (Å, degrees): 5.140 5.140 5.140 90.00 90.00 90.00
Atoms (fractional coordinates):
Ta 0.093 0.093 0.093
Ta 0.407 0.907 0.593
Ta 0.593 0.407 0.907
Ta 0.907 0.593 0.407
Os 0.078 0.578 0.922
Os 0.422 0.422 0.422
Os 0.578 0.922 0.078
Os 0.922 0.078 0.578

***

# 2
Here is KDyCd2 after structural relaxation from the Alexandria database. Energies are from GGA-PBE.

formation enthalpy at 0 K	-0.107	eV per atom
relative energy among the computed polymorphs	0	meV per atom

Lattice parameters (Å, degrees): 3.824 3.824 8.532 90.00 90.00 90.00
Atoms (fractional coordinates):
K 0.000 0.000 0.000
Dy 0.000 0.000 0.500
Cd 0.500 0.500 0.298
Cd 0.500 0.500 0.702

***

# 3
Here is NiHPd2 after structural relaxation from the Alexandria database. Energies are from GGA-PBE.

relative energy among the computed polymorphs	234	meV per atom

Lattice parameters (Å, degrees): 7.660 7.660 7.660 20.50 20.50 20.50
Atoms (fractional coordinates):
Ni 0.000 0.000 0.000
H 0.500 0.500 0.500
Pd 0.110 0.110 0.110
Pd 0.890 0.890 0.890

***

# 4
Here is AsW3Se after structural relaxation from the Alexandria database. Energies are from GGA-PBE.

relative energy among the computed polymorphs	0	meV per atom
ΔE_f (raw)	848.4	kJ/mol of formula units

Lattice parameters (Å, degrees): 4.636 4.636 4.636 90.00 90.00 90.00
Atoms (fractional coordinates):
As 0.000 0.000 0.000
W 0.000 0.500 0.500
W 0.500 0.000 0.500
W 0.500 0.500 0.000
Se 0.500 0.500 0.500

***

The evaluated E_tot for the records listed, in turn: -92.840, -7.957, -18.522, -38.200 eV per cell.